No. 1
A relaxed structure of CaB4Pt12, computed with GGA-PBE.

The structure in CIF format:
```
data_CaB4Pt12
_symmetry_space_group_name_H-M 'I m -3'
_symmetry_Int_Tables_number 204
_symmetry_space_group_name_Hall '-I 2 2 3'
_cell_length_a 7.949
_cell_length_b 7.949
_cell_length_c 7.949
_cell_angle_alpha 90.00
_cell_angle_beta 90.00
_cell_angle_gamma 90.00
loop_
_atom_site_label
_atom_site_fract_x
_atom_site_fract_y
_atom_site_fract_z
Ca1 0.000 0.000 0.000
B1 0.250 0.250 0.250
Pt1 0.000 0.178 0.323
```


No. 2
A relaxed structure of Li2ScMoH8, computed with GGA-PBE.

The structure in CIF format:
```
data_Li2ScMoH8
_symmetry_space_group_name_H-M 'I -4 m 2'
_symmetry_Int_Tables_number 119
_symmetry_space_group_name_Hall 'I -4 -2'
_cell_length_a 4.572
_cell_length_b 4.572
_cell_length_c 8.823
_cell_angle_alpha 90.00
_cell_angle_beta 90.00
_cell_angle_gamma 90.00
loop_
_atom_site_label
_atom_site_fract_x
_atom_site_fract_y
_atom_site_fract_z
Li1 0.000 0.000 0.000
Li2 0.000 0.500 0.250
Sc1 0.000 0.000 0.500
Mo1 0.000 0.500 0.750
H1 0.232 0.261 0.868
```


No. 3
A relaxed structure of Pr4Cl3O4, computed with GGA-PBE.

The structure in CIF format:
```
data_Pr4Cl3O4
_symmetry_space_group_name_H-M 'I m m m'
_symmetry_Int_Tables_number 71
_symmetry_space_group_name_Hall '-I 2 2'
_cell_length_a 3.739
_cell_length_b 7.892
_cell_length_c 13.691
_cell_angle_alpha 90.00
_cell_angle_beta 90.00
_cell_angle_gamma 90.00
loop_
_atom_site_label
_atom_site_fract_x
_atom_site_fract_y
_atom_site_fract_z
Pr1 0.000 0.000 0.217
Pr2 0.000 0.232 0.500
Cl1 0.000 0.000 0.000
Cl2 0.000 0.500 0.109
O1 0.000 0.320 0.339
```


No. 4
A relaxed structure of B2Pt9Pb3Au, computed with GGA-PBE.

The structure in CIF format:
```
data_B2Pt9Pb3Au
_symmetry_space_group_name_H-M 'P -3 m 1'
_symmetry_Int_Tables_number 164
_symmetry_space_group_name_Hall '-P 3 2"'
_cell_length_a 5.6459
_cell_length_b 5.6459
_cell_length_c 10.0960
_cell_angle_alpha 90.00
_cell_angle_beta 90.00
_cell_angle_gamma 120.00
loop_
_atom_site_label
_atom_site_fract_x
_atom_site_fract_y
_atom_site_fract_z
B1 0.3333 0.6667 0.1470
Pt1 0.0000 0.5000 0.0000
Pt2 0.1640 0.3279 0.2742
Pb1 0.0000 0.0000 0.0000
Pb2 0.3333 0.6667 0.6189
Au1 0.0000 0.0000 0.5000
```


No. 5
A relaxed structure of SmEuIn2, computed with GGA-PBE.

The structure in CIF format:
```
data_SmEuIn2
_symmetry_space_group_name_H-M 'R -3 m'
_symmetry_Int_Tables_number 166
_symmetry_space_group_name_Hall '-R 3 2"'
_cell_length_a 3.7792
_cell_length_b 3.7792
_cell_length_c 30.4589
_cell_angle_alpha 90.00
_cell_angle_beta 90.00
_cell_angle_gamma 120.00
loop_
_atom_site_label
_atom_site_fract_x
_atom_site_fract_y
_atom_site_fract_z
Sm1 0.0000 0.0000 0.0000
Eu1 0.0000 0.0000 0.5000
In1 0.0000 0.0000 0.2518
```


No. 6
# TiRuI2O (GGA-PBE, optimized geometry)
data_TiRuI2O
_symmetry_space_group_name_H-M 'P 4/m m m'
_symmetry_Int_Tables_number 123
_symmetry_space_group_name_Hall '-P 4 2'
_cell_length_a 5.547
_cell_length_b 5.547
_cell_length_c 3.718
_cell_angle_alpha 90.00
_cell_angle_beta 90.00
_cell_angle_gamma 90.00
loop_
_atom_site_label
_atom_site_fract_x
_atom_site_fract_y
_atom_site_fract_z
Ti1 0.000 0.000 0.000
Ru1 0.500 0.500 0.500
I1 0.000 0.500 0.500
O1 0.500 0.500 0.000
# Energy relative to the lowest polymorph listed for this composition ... 349 meV per atom


No. 7
# Mg2CrNi (GGA-PBE, optimized geometry)
data_Mg2CrNi
_symmetry_space_group_name_H-M 'F m -3 m'
_symmetry_Int_Tables_number 225
_symmetry_space_group_name_Hall '-F 4 2 3'
_cell_length_a 6.326
_cell_length_b 6.326
_cell_length_c 6.326
_cell_angle_alpha 90.00
_cell_angle_beta 90.00
_cell_angle_gamma 90.00
loop_
_atom_site_label
_atom_site_fract_x
_atom_site_fract_y
_atom_site_fract_z
Mg1 0.250 0.250 0.250
Cr1 0.000 0.000 0.000
Ni1 0.000 0.000 0.500
# Energy relative to the lowest polymorph listed for this composition ... 13 meV per atom


No. 8
# Nb3Ru2W (GGA-PBE, optimized geometry)
data_Nb3Ru2W
_symmetry_space_group_name_H-M 'P 4/m m m'
_symmetry_Int_Tables_number 123
_symmetry_space_group_name_Hall '-P 4 2'
_cell_length_a 3.212
_cell_length_b 3.212
_cell_length_c 9.569
_cell_angle_alpha 90.00
_cell_angle_beta 90.00
_cell_angle_gamma 90.00
loop_
_atom_site_label
_atom_site_fract_x
_atom_site_fract_y
_atom_site_fract_z
Nb1 0.000 0.000 0.000
Nb2 0.000 0.000 0.335
Ru1 0.500 0.500 0.161
W1 0.500 0.500 0.500
# Energy relative to the lowest polymorph listed for this composition ... 10 meV per atom


Calculated D(E_F) (states/eV/f.u.), listed in the same order as above: 8.72, 3.06, 0.65, 4.71, 8.59, 9.23, 2.57, 4.62
Calculated E_tot (eV per atom), listed in the same order as above: -6.239, -4.268, -6.694, -5.617, -5.406, -4.913, -4.450, -10.467